# Ag6Pd8Pt, relaxed, DFT GGA-PBE
# Formation enthalpy at 0 K: 0.205 eV per atom
# Total moment: 0.0 μB per formula unit
# Total energy: -61.611 eV per formula unit
# Density of states at the Fermi level: 1.22 states/eV/atom
# ΔE to the lowest computed polymorph: 56.3 meV/atom
data_Ag6Pd8Pt
_chemical_formula_sum 'Ag6 Pd8 Pt1'
_cell_length_a 10.5009
_cell_length_b 10.5009
_cell_length_c 2.7925
_cell_angle_alpha 90.00
_cell_angle_beta 90.00
_cell_angle_gamma 120.00
_symmetry_space_group_name_H-M 'P -3'
_symmetry_Int_Tables_number 147
_symmetry_space_group_name_Hall '-P 3'
loop_
_atom_site_label
_atom_site_type_symbol
_atom_site_fract_x
_atom_site_fract_y
_atom_site_fract_z
Ag1 Ag 0.0929 0.4635 0.2613
Pd1 Pd 0.0734 0.8013 0.2319
Pd2 Pd 0.3333 0.6667 0.7641
Pt1 Pt 0.0000 0.0000 0.5000